Record 1
Density functional theory data (PBE-GGA) for an optimized crystal structure of MnGaFe.

The structure in extended XYZ format:
```
12
Lattice="3.981 0.000 0.000 0.000 5.150 0.000 0.000 0.000 7.391" Properties=species:S:1:pos:R:3 pbc="T T T"
Mn 2.986 2.379 1.893
Mn 2.986 4.954 1.803
Mn 0.995 0.196 5.589
Mn 0.995 2.771 5.499
Fe 0.995 3.486 3.034
Fe 2.986 1.664 4.358
Fe 2.986 4.239 6.729
Fe 0.995 0.911 0.662
Ga 2.986 4.178 4.298
Ga 2.986 1.603 6.789
Ga 0.995 3.547 0.602
Ga 0.995 0.972 3.093
```

Results
Fermi-level density of states: 0.835 states/eV per atom
SG: No. 62
Crystal system: orthorhombic
Total DFT energy (no corrections): -6.947 eV per atom
Formation energy from the elements: -0.0611 eV per atom


Record 2
Density functional theory data (PBE-GGA) for an optimized crystal structure of MnGaFe14.

The structure in extended XYZ format:
```
16
Lattice="-3.114 -1.661 -3.444 1.539 -3.774 2.776 -6.191 1.176 5.031" Properties=species:S:1:pos:R:3 pbc="T T T"
Mn -4.465 -1.865 1.403
Ga -2.139 -2.921 4.513
Fe 0.958 -3.510 2.000
Fe -1.368 -2.453 -1.110
Fe -2.908 -1.034 3.125
Fe 0.189 -1.623 0.612
Fe -3.696 -3.752 2.791
Fe -0.599 -4.340 0.278
Fe -5.648 -0.233 2.843
Fe -2.509 -0.829 0.293
Fe -6.421 -2.901 2.515
Fe -3.282 -3.497 -0.035
Fe -4.837 -2.103 4.222
Fe -1.752 -2.689 1.715
Fe -7.178 -1.040 1.093
Fe -4.093 -1.626 -1.415
```

Results
Fermi-level density of states: 0.931 states/eV per atom
SG: No. 65
Crystal system: orthorhombic
Total DFT energy (no corrections): -8.166 eV per atom
Formation energy from the elements: 0.0007 eV per atom


Record 3
Density functional theory data (PBE-GGA) for an optimized crystal structure of MnGa4Fe5.

The structure in extended XYZ format:
```
10
Lattice="3.790 0.000 1.273 1.842 5.807 0.793 0.048 -0.327 6.134" Properties=species:S:1:pos:R:3 pbc="T T T"
Mn 0.947 0.000 0.318
Ga 1.549 1.567 4.803
Ga 2.442 1.153 2.145
Ga 5.132 4.326 6.692
Ga 2.236 3.912 2.761
Fe 3.047 2.865 6.622
Fe 3.890 0.434 4.114
Fe 3.787 2.740 4.418
Fe 3.685 5.045 4.723
Fe 4.528 2.614 2.215
```

Results
Fermi-level density of states: 0.661 states/eV per atom
SG: No. 71
Crystal system: orthorhombic
Total DFT energy (no corrections): -6.352 eV per atom
Formation energy from the elements: 0.0073 eV per atom


Record 4
Density functional theory data (PBE-GGA) for an optimized crystal structure of Mn2Ga2Fe.

The structure in extended XYZ format:
```
10
Lattice="-1.194 -4.557 -0.609 4.120 -0.170 -2.358 1.054 0.619 6.744" Properties=species:S:1:pos:R:3 pbc="T T T"
Mn 0.003 -3.924 -0.877
Mn 1.583 -0.719 2.267
Mn 3.978 -0.183 4.655
Mn 2.397 -3.389 1.511
Ga 1.096 -1.885 -0.052
Ga 3.300 -0.812 0.412
Ga 2.885 -2.222 3.830
Ga 0.681 -3.295 3.366
Fe 3.355 -3.218 -0.994
Fe 0.625 -0.889 4.771
```

Results
Fermi-level density of states: 0.653 states/eV per atom
SG: No. 15
Crystal system: monoclinic
Total DFT energy (no corrections): -6.545 eV per atom
Formation energy from the elements: 0.0263 eV per atom


Record 5
Density functional theory data (PBE-GGA) for an optimized crystal structure of Mn2Ga2Fe3.

The structure in extended XYZ format:
```
7
Lattice="2.489 0.000 -0.426 -0.154 3.848 -0.897 0.235 0.041 8.852" Properties=species:S:1:pos:R:3 pbc="T T T"
Mn 1.679 0.609 2.327
Mn 0.891 3.279 5.202
Ga 1.375 2.215 0.552
Ga 1.195 1.674 6.977
Fe 0.000 0.000 0.000
Fe 0.519 2.758 3.028
Fe 2.052 1.131 4.501
```

Results
Fermi-level density of states: 1.227 states/eV per atom
SG: No. 71
Crystal system: orthorhombic
Total DFT energy (no corrections): -6.949 eV per atom
Formation energy from the elements: 0.1627 eV per atom


Record 6
Density functional theory data (PBE-GGA) for an optimized crystal structure of MnGaFe2.

The structure in extended XYZ format:
```
4
Lattice="2.566 -0.219 4.038 1.074 2.341 4.038 1.625 0.947 11.417" Properties=species:S:1:pos:R:3 pbc="T T T"
Mn 0.000 0.000 0.000
Ga 0.812 0.474 5.709
Fe 0.450 0.262 2.888
Fe 4.814 2.806 16.605
```

Results
Fermi-level density of states: 0.742 states/eV per atom
SG: No. 12
Crystal system: monoclinic
Total DFT energy (no corrections): -7.316 eV per atom
Formation energy from the elements: -0.0351 eV per atom


Record 7
Density functional theory data (PBE-GGA) for an optimized crystal structure of MnGa6Fe6.

The structure in extended XYZ format:
```
13
Lattice="-2.134 3.223 -3.108 -0.021 -2.116 -6.139 -6.357 -1.101 -0.735" Properties=species:S:1:pos:R:3 pbc="T T T"
Mn 0.000 0.000 0.000
Ga -4.958 -1.062 -5.614
Ga -3.554 1.068 -4.368
Ga -4.389 -1.416 -2.413
Ga -1.989 -1.801 -4.460
Ga -1.780 0.530 -2.187
Ga -6.732 -0.523 -7.795
Fe -0.010 -1.058 -3.069
Fe -1.077 0.554 -4.623
Fe -3.178 -0.551 -0.368
Fe -4.246 1.061 -1.921
Fe -2.656 -0.253 -6.355
Fe -5.856 0.259 -3.627
```

Results
Fermi-level density of states: 0.509 states/eV per atom
SG: No. 71
Crystal system: orthorhombic
Total DFT energy (no corrections): -6.164 eV per atom
Formation energy from the elements: -0.1556 eV per atom


Record 8
Density functional theory data (PBE-GGA) for an optimized crystal structure of Mn2GaFe5.

The structure in extended XYZ format:
```
8
Lattice="4.662 0.000 0.349 2.331 3.509 0.175 -1.473 0.000 5.984" Properties=species:S:1:pos:R:3 pbc="T T T"
Mn 3.720 1.755 5.525
Mn 1.799 1.755 0.982
Ga 2.760 1.755 3.254
Fe 1.407 2.975 5.076
Fe 4.113 2.975 1.432
Fe 0.429 1.755 3.079
Fe 4.113 0.535 1.432
Fe 1.407 0.535 5.076
```

Results
Fermi-level density of states: 1.116 states/eV per atom
SG: No. 12
Crystal system: monoclinic
Total DFT energy (no corrections): -7.700 eV per atom
Formation energy from the elements: 0.2603 eV per atom


Record 9
Density functional theory data (PBE-GGA) for an optimized crystal structure of Mn2GaFe8.

The structure in extended XYZ format:
```
11
Lattice="3.917 0.960 1.602 1.568 6.650 4.613 1.242 3.097 7.539" Properties=species:S:1:pos:R:3 pbc="T T T"
Mn 2.568 2.412 3.215
Mn 4.159 8.296 10.539
Ga 0.000 0.000 0.000
Fe 4.086 3.831 6.917
Fe 2.479 5.110 8.291
Fe 4.170 3.373 4.561
Fe 2.557 7.334 9.192
Fe 4.248 5.598 5.463
Fe 2.641 6.876 6.837
Fe 2.197 4.282 5.445
Fe 4.530 6.426 8.309
```

Results
Fermi-level density of states: 1.270 states/eV per atom
SG: No. 12
Crystal system: monoclinic
Total DFT energy (no corrections): -7.890 eV per atom
Formation energy from the elements: 0.2067 eV per atom


Record 10
Density functional theory data (PBE-GGA) for an optimized crystal structure of Mn4GaFe5.

The structure in extended XYZ format:
```
10
Lattice="-3.665 -3.072 0.146 2.457 -5.885 0.619 -2.326 -0.782 4.172" Properties=species:S:1:pos:R:3 pbc="T T T"
Mn -3.379 -6.510 3.386
Mn -2.419 -4.026 3.056
Mn -0.815 -5.948 2.189
Mn -1.328 -3.579 0.911
Ga -2.931 -8.757 4.562
Fe 0.797 -4.354 0.742
Fe -1.386 -1.805 2.408
Fe -1.588 -8.559 2.539
Fe -3.020 -5.032 1.015
Fe -0.938 -7.507 4.570
```

Results
Fermi-level density of states: 1.008 states/eV per atom
SG: No. 1
Crystal system: triclinic
Total DFT energy (no corrections): -8.069 eV per atom
Formation energy from the elements: 0.1331 eV per atom


Record 11
Density functional theory data (PBE-GGA) for an optimized crystal structure of Mn4GaFe3.

The structure in extended XYZ format:
```
16
Lattice="-1.373 -1.339 -3.548 1.736 -5.345 1.346 -7.188 -1.492 3.344" Properties=species:S:1:pos:R:3 pbc="T T T"
Mn 0.638 -4.747 -0.748
Mn -2.956 -5.493 0.925
Mn -0.275 -1.937 -1.455
Mn -3.869 -2.683 0.217
Mn -4.067 -5.197 3.533
Mn -1.845 -5.789 -1.684
Mn -2.758 -2.979 -2.391
Mn -4.980 -2.387 2.826
Fe 0.000 0.000 0.000
Fe -3.594 -0.746 1.672
Fe -6.078 -1.789 0.733
Fe -2.483 -1.042 -0.937
Fe -5.210 -4.462 1.405
Fe -1.615 -3.714 -0.263
Ga 0.868 -2.672 0.673
Ga -2.726 -3.418 2.345
```

Results
Fermi-level density of states: 1.122 states/eV per atom
SG: No. 123
Crystal system: tetragonal
Total DFT energy (no corrections): -8.073 eV per atom
Formation energy from the elements: 0.0641 eV per atom


Record 12
Density functional theory data (PBE-GGA) for an optimized crystal structure of MnGaFe2.

The structure in extended XYZ format:
```
4
Lattice="-1.758 1.496 1.110 -1.253 -2.079 0.819 3.869 0.055 6.056" Properties=species:S:1:pos:R:3 pbc="T T T"
Mn -1.505 -0.291 0.964
Fe 2.942 0.042 4.605
Fe 0.927 0.013 1.451
Ga 0.429 -0.264 3.992
```

Results
Fermi-level density of states: 0.940 states/eV per atom
SG: No. 123
Crystal system: tetragonal
Total DFT energy (no corrections): -7.289 eV per atom
Formation energy from the elements: -0.0082 eV per atom